Model one:
# PBE SmNiOs, relaxed
data_SmNiOs
_cell_length_a 4.476
_cell_length_b 4.476
_cell_length_c 4.476
_cell_angle_alpha 60.00
_cell_angle_beta 60.00
_cell_angle_gamma 60.00
_symmetry_space_group_name_H-M 'P 1'
_symmetry_Int_Tables_number 1
loop_
_symmetry_equiv_pos_as_xyz
'x,y,z'
loop_
_atom_site_label
_atom_site_type_symbol
_atom_site_fract_x
_atom_site_fract_y
_atom_site_fract_z
Ni1 Ni 0.250 0.250 0.250
Os1 Os 0.750 0.750 0.750
Sm1 Sm 0.000 0.000 0.000
# Calculated volume: 21.14 Å³ per atom

***

Model two:
# PBE SmNiOs, relaxed
data_SmNiOs
_cell_length_a 4.393
_cell_length_b 4.393
_cell_length_c 4.393
_cell_angle_alpha 60.00
_cell_angle_beta 60.00
_cell_angle_gamma 60.00
_symmetry_space_group_name_H-M 'P 1'
_symmetry_Int_Tables_number 1
loop_
_symmetry_equiv_pos_as_xyz
'x,y,z'
loop_
_atom_site_label
_atom_site_type_symbol
_atom_site_fract_x
_atom_site_fract_y
_atom_site_fract_z
Ni1 Ni 0.000 0.000 0.000
Os1 Os 0.250 0.250 0.250
Sm1 Sm 0.750 0.750 0.750
# Calculated volume: 19.98 Å³ per atom

***

Least stable: model one

***

Model one:
# PBE PaReNi, relaxed
data_PaReNi
_cell_length_a 4.379
_cell_length_b 4.379
_cell_length_c 4.379
_cell_angle_alpha 60.00
_cell_angle_beta 60.00
_cell_angle_gamma 60.00
_symmetry_space_group_name_H-M 'P 1'
_symmetry_Int_Tables_number 1
loop_
_symmetry_equiv_pos_as_xyz
'x,y,z'
loop_
_atom_site_label
_atom_site_type_symbol
_atom_site_fract_x
_atom_site_fract_y
_atom_site_fract_z
Ni1 Ni 0.250 0.250 0.250
Pa1 Pa 0.000 0.000 0.000
Re1 Re 0.750 0.750 0.750
# Calculated volume: 19.79 Å³ per atom

***

Model two:
# PBE PaReNi, relaxed
data_PaReNi
_cell_length_a 4.307
_cell_length_b 4.307
_cell_length_c 4.307
_cell_angle_alpha 60.00
_cell_angle_beta 60.00
_cell_angle_gamma 60.00
_symmetry_space_group_name_H-M 'P 1'
_symmetry_Int_Tables_number 1
loop_
_symmetry_equiv_pos_as_xyz
'x,y,z'
loop_
_atom_site_label
_atom_site_type_symbol
_atom_site_fract_x
_atom_site_fract_y
_atom_site_fract_z
Ni1 Ni 0.000 0.000 0.000
Pa1 Pa 0.750 0.750 0.750
Re1 Re 0.250 0.250 0.250
# Calculated volume: 18.84 Å³ per atom

***

Least stable: model one